{
  "formula": "SrZnB2Br",
  "functional": "GGA-PBE",
  "state": "relaxed",
  "vol_a3_per_atom": 38.9,
  "raw_formation_energy_ev_per_atom": 1.5949,
  "dft_energy_ev_per_atom": -2.0018,
  "lattice_angstrom": [[5.7664, 0.0000, 0.0000], [0.0000, 5.8553, 0.0000], [0.0000, 0.0000, 5.7664]],
  "species": ["Br", "B", "B", "Sr", "Zn"],
  "frac_coords": [[0.0000, 0.5000, 0.0000], [0.0000, 0.0000, 0.5000], [0.5000, 0.0000, 0.0000], [0.0000, 0.0000, 0.0000], [0.5000, 0.5000, 0.5000]]
}

{
  "formula": "TaB2Br",
  "functional": "GGA-PBE",
  "state": "relaxed",
  "e_above_lowest_polymorph_mev_per_atom": 0,
  "vol_a3_per_atom": 17.7,
  "raw_formation_energy_ev_per_atom": 1.3324,
  "dft_energy_ev_per_atom": -5.3877,
  "lattice_angstrom": [[5.3799, 0.0000, 0.0000], [0.0000, 5.3799, 0.0000], [2.6899, 2.6899, 4.8895]],
  "species": ["Br", "Br", "B", "B", "B", "B", "Ta", "Ta"],
  "frac_coords": [[0.2500, 0.7500, 0.5000], [0.5000, 0.5000, 0.0000], [0.6423, 0.1250, 0.2500], [0.1077, 0.6250, 0.2500], [0.8750, 0.8923, 0.7500], [0.3750, 0.3577, 0.7500], [0.7500, 0.2500, 0.5000], [0.0000, 0.0000, 0.0000]]
}

{
  "formula": "TaBBr2",
  "functional": "GGA-PBE",
  "state": "relaxed",
  "e_above_lowest_polymorph_mev_per_atom": 571,
  "vol_a3_per_atom": 19.9,
  "raw_formation_energy_ev_per_atom": 1.1377,
  "dft_energy_ev_per_atom": -4.3313,
  "lattice_angstrom": [[-5.2502, 6.7132, 0.9135], [-4.3209, 6.1957, 4.0509], [-2.3967, 7.9762, 2.0256]],
  "species": ["Br", "Br", "B", "Ta"],
  "frac_coords": [[0.8995, 0.8995, 0.8995], [0.1005, 0.1005, 0.1005], [0.5000, 0.5000, 0.5000], [0.0000, 0.0000, 0.0000]]
}

{
  "formula": "Ta2BBr",
  "functional": "GGA-PBE",
  "state": "relaxed",
  "e_above_lowest_polymorph_mev_per_atom": 0,
  "vol_a3_per_atom": 14.8,
  "raw_formation_energy_ev_per_atom": 0.6230,
  "dft_energy_ev_per_atom": -7.3909,
  "lattice_angstrom": [[0.0000, 3.0906, 3.0906], [3.0906, 0.0000, 3.0906], [3.0906, 3.0906, 0.0000]],
  "species": ["B", "Br", "Ta", "Ta"],
  "frac_coords": [[0.0000, 0.0000, 0.0000], [0.5000, 0.5000, 0.5000], [0.2500, 0.2500, 0.2500], [0.7500, 0.7500, 0.7500]]
}